PrZn2Pd5: optimized geometry, PBE.

Lattice parameters (Å, degrees): 6.607 6.607 6.607 145.04 117.63 73.54
Atoms (fractional coordinates):
1 Pr 0.000 0.000 0.000
2 Zn 0.266 0.766 0.500
3 Zn 0.734 0.234 0.500
4 Pd 0.162 0.365 0.796
5 Pd 0.431 0.635 0.796
6 Pd 0.500 0.000 0.500
7 Pd 0.569 0.365 0.204
8 Pd 0.838 0.635 0.204

- raw total energy (eV/cell) = -37.560
- space group = Immm
- crystal system = orthorhombic
- energy of formation (eV per atom) = -0.534

---

Pr8ZnPd2: optimized geometry, PBE.

Lattice parameters (Å, degrees): 8.243 8.243 5.916 99.23 99.23 115.98
Atoms (fractional coordinates):
1 Pr 0.000 0.000 0.000
2 Pr 0.046 0.293 0.600
3 Pr 0.161 0.618 0.186
4 Pr 0.293 0.046 0.600
5 Pr 0.473 0.720 0.786
6 Pr 0.618 0.161 0.186
7 Pr 0.720 0.473 0.786
8 Pr 0.760 0.760 0.371
9 Zn 0.383 0.383 0.077
10 Pd 0.081 0.680 0.682
11 Pd 0.680 0.081 0.682

- raw total energy (eV/cell) = -52.063
- space group = Cm
- E above lowest polymorph (meV/atom) = 112
- crystal system = monoclinic
- energy of formation (eV per atom) = -0.197

---

Pr2Zn5Pd5: optimized geometry, PBE.

Lattice parameters (Å, degrees): 4.353 5.346 9.427 90.00 90.00 90.00
Atoms (fractional coordinates):
1 Pr 0.000 0.000 0.000
2 Pr 0.000 0.500 0.500
3 Zn 0.500 0.000 0.500
4 Zn 0.500 0.251 0.248
5 Zn 0.500 0.251 0.752
6 Zn 0.500 0.749 0.248
7 Zn 0.500 0.749 0.752
8 Pd 0.000 0.000 0.333
9 Pd 0.000 0.000 0.667
10 Pd 0.000 0.500 0.180
11 Pd 0.000 0.500 0.820
12 Pd 0.500 0.500 0.000

- raw total energy (eV/cell) = -49.514
- space group = Pmmm
- crystal system = orthorhombic
- energy of formation (eV per atom) = -0.635

---

PrZn4Pd: optimized geometry, PBE.

Lattice parameters (Å, degrees): 5.318 5.318 5.318 60.00 60.00 60.00
Atoms (fractional coordinates):
1 Pr 0.000 0.000 0.000
2 Zn 0.377 0.377 0.377
3 Zn 0.377 0.377 0.870
4 Zn 0.377 0.870 0.377
5 Zn 0.870 0.377 0.377
6 Pd 0.750 0.750 0.750

- raw total energy (eV/cell) = -17.075
- space group = F-43m
- E above lowest polymorph (meV/atom) = 0
- crystal system = cubic
- energy of formation (eV per atom) = -0.335

---

PrZn2Pd: optimized geometry, PBE.

Lattice parameters (Å, degrees): 8.176 7.125 5.491 90.00 90.00 90.00
Atoms (fractional coordinates):
1 Pr 0.045 0.250 0.126
2 Pr 0.455 0.750 0.626
3 Pr 0.545 0.250 0.374
4 Pr 0.955 0.750 0.874
5 Zn 0.178 0.060 0.601
6 Zn 0.178 0.440 0.601
7 Zn 0.322 0.560 0.101
8 Zn 0.322 0.940 0.101
9 Zn 0.678 0.060 0.899
10 Zn 0.678 0.440 0.899
11 Zn 0.822 0.560 0.399
12 Zn 0.822 0.940 0.399
13 Pd 0.107 0.750 0.362
14 Pd 0.393 0.250 0.862
15 Pd 0.607 0.750 0.138
16 Pd 0.893 0.250 0.638

- raw total energy (eV/cell) = -58.783
- space group = Pnma
- crystal system = orthorhombic
- energy of formation (eV per atom) = -0.544

---

Pr2Zn5Pd3: optimized geometry, PBE.

Lattice parameters (Å, degrees): 8.618 8.618 8.618 102.94 91.06 139.25
Atoms (fractional coordinates):
1 Pr 0.127 0.228 0.355
2 Pr 0.373 0.728 0.100
3 Pr 0.627 0.272 0.900
4 Pr 0.873 0.772 0.645
5 Zn 0.031 0.750 0.281
6 Zn 0.141 0.889 0.030
7 Zn 0.250 0.750 0.500
8 Zn 0.359 0.389 0.748
9 Zn 0.469 0.750 0.719
10 Zn 0.531 0.250 0.281
11 Zn 0.641 0.611 0.252
12 Zn 0.750 0.250 0.500
13 Zn 0.859 0.111 0.970
14 Zn 0.969 0.250 0.719
15 Pd 0.110 0.656 0.767
16 Pd 0.250 0.250 0.000
17 Pd 0.390 0.156 0.546
18 Pd 0.610 0.844 0.454
19 Pd 0.750 0.750 0.000
20 Pd 0.890 0.344 0.233

- raw total energy (eV/cell) = -73.721
- space group = Ibam
- crystal system = orthorhombic
- energy of formation (eV per atom) = -0.535

---

PrZn2Pd: optimized geometry, PBE.

Lattice parameters (Å, degrees): 5.636 5.636 5.636 45.55 45.55 45.55
Atoms (fractional coordinates):
1 Pr 0.000 0.000 0.000
2 Zn 0.211 0.211 0.211
3 Zn 0.789 0.789 0.789
4 Pd 0.500 0.500 0.500

- raw total energy (eV/cell) = -14.416
- space group = R-3m
- crystal system = trigonal
- energy of formation (eV per atom) = -0.474

---

PrZn9Pd2: optimized geometry, PBE.

Lattice parameters (Å, degrees): 8.785 8.785 3.033 90.00 90.00 120.00
Atoms (fractional coordinates):
1 Pr 0.000 0.000 0.000
2 Zn 0.000 0.500 0.000
3 Zn 0.187 0.373 0.500
4 Zn 0.187 0.813 0.500
5 Zn 0.373 0.187 0.500
6 Zn 0.500 0.000 0.000
7 Zn 0.500 0.500 0.000
8 Zn 0.627 0.813 0.500
9 Zn 0.813 0.187 0.500
10 Zn 0.813 0.627 0.500
11 Pd 0.333 0.667 0.000
12 Pd 0.667 0.333 0.000

- raw total energy (eV/cell) = -29.768
- space group = P6/mmm
- E above lowest polymorph (meV/atom) = 117
- crystal system = hexagonal
- energy of formation (eV per atom) = -0.261

---

PrZn2Pd6: optimized geometry, PBE.

Lattice parameters (Å, degrees): 4.797 4.797 8.919 90.00 90.00 120.00
Atoms (fractional coordinates):
1 Pr 0.000 0.000 0.000
2 Zn 0.333 0.667 0.500
3 Zn 0.667 0.333 0.500
4 Pd 0.000 0.342 0.733
5 Pd 0.000 0.658 0.267
6 Pd 0.342 0.000 0.733
7 Pd 0.342 0.342 0.267
8 Pd 0.658 0.000 0.267
9 Pd 0.658 0.658 0.733

- raw total energy (eV/cell) = -41.033
- space group = P-31m
- crystal system = trigonal
- energy of formation (eV per atom) = -0.283

---

Pr2ZrPd9: optimized geometry, PBE.

Lattice parameters (Å, degrees): 4.152 4.152 12.511 90.00 90.00 90.00
Atoms (fractional coordinates):
1 Pr 0.000 0.000 0.171
2 Pr 0.000 0.000 0.829
3 Zr 0.000 0.000 0.500
4 Pd 0.000 0.500 0.000
5 Pd 0.000 0.500 0.347
6 Pd 0.000 0.500 0.653
7 Pd 0.500 0.000 0.000
8 Pd 0.500 0.000 0.347
9 Pd 0.500 0.000 0.653
10 Pd 0.500 0.500 0.174
11 Pd 0.500 0.500 0.500
12 Pd 0.500 0.500 0.826

- raw total energy (eV/cell) = -74.082
- space group = P4/mmm
- crystal system = tetragonal
- energy of formation (eV per atom) = -0.770

---

Pr2ZrPd: optimized geometry, PBE.

Lattice parameters (Å, degrees): 3.632 3.632 8.130 90.00 90.00 90.00
Atoms (fractional coordinates):
1 Pr 0.000 0.000 0.221
2 Pr 0.000 0.000 0.779
3 Zr 0.500 0.500 0.500
4 Pd 0.500 0.500 0.000

- raw total energy (eV/cell) = -24.171
- space group = P4/mmm
- E above lowest polymorph (meV/atom) = 0
- crystal system = tetragonal
- energy of formation (eV per atom) = -0.218

---

Pr2ZrPd: optimized geometry, PBE.

Lattice parameters (Å, degrees): 11.227 11.227 11.227 17.11 17.11 17.11
Atoms (fractional coordinates):
1 Pr 0.096 0.096 0.096
2 Pr 0.904 0.904 0.904
3 Zr 0.000 0.000 0.000
4 Pd 0.500 0.500 0.500

- raw total energy (eV/cell) = -22.660
- space group = R-3m
- E above lowest polymorph (meV/atom) = 378
- crystal system = trigonal
- energy of formation (eV per atom) = 0.160

---

Pr3ZrPd12: optimized geometry, PBE.

Lattice parameters (Å, degrees): 4.173 4.173 16.707 90.00 90.00 90.00
Atoms (fractional coordinates):
1 Pr 0.000 0.000 0.000
2 Pr 0.000 0.000 0.255
3 Pr 0.000 0.000 0.745
4 Zr 0.000 0.000 0.500
5 Pd 0.000 0.500 0.128
6 Pd 0.000 0.500 0.386
7 Pd 0.000 0.500 0.614
8 Pd 0.000 0.500 0.872
9 Pd 0.500 0.000 0.128
10 Pd 0.500 0.000 0.386
11 Pd 0.500 0.000 0.614
12 Pd 0.500 0.000 0.872
13 Pd 0.500 0.500 0.000
14 Pd 0.500 0.500 0.257
15 Pd 0.500 0.500 0.500
16 Pd 0.500 0.500 0.743

- raw total energy (eV/cell) = -97.407
- space group = P4/mmm
- crystal system = tetragonal
- energy of formation (eV per atom) = -0.763

---

PrZr2Pd9: optimized geometry, PBE.

Lattice parameters (Å, degrees): 4.094 4.094 12.293 90.00 90.00 90.00
Atoms (fractional coordinates):
1 Pr 0.000 0.000 0.000
2 Zr 0.000 0.000 0.336
3 Zr 0.000 0.000 0.664
4 Pd 0.000 0.500 0.180
5 Pd 0.000 0.500 0.500
6 Pd 0.000 0.500 0.820
7 Pd 0.500 0.000 0.180
8 Pd 0.500 0.000 0.500
9 Pd 0.500 0.000 0.820
10 Pd 0.500 0.500 0.000
11 Pd 0.500 0.500 0.340
12 Pd 0.500 0.500 0.660

- raw total energy (eV/cell) = -78.191
- space group = P4/mmm
- crystal system = tetragonal
- energy of formation (eV per atom) = -0.798

---

PrZrPd6: optimized geometry, PBE.

Lattice parameters (Å, degrees): 4.124 4.124 8.257 90.00 90.00 90.00
Atoms (fractional coordinates):
1 Pr 0.000 0.000 0.000
2 Zr 0.000 0.000 0.500
3 Pd 0.000 0.500 0.265
4 Pd 0.000 0.500 0.735
5 Pd 0.500 0.000 0.265
6 Pd 0.500 0.000 0.735
7 Pd 0.500 0.500 0.000
8 Pd 0.500 0.500 0.500

- raw total energy (eV/cell) = -50.813
- space group = P4/mmm
- crystal system = tetragonal
- energy of formation (eV per atom) = -0.791

---

Pd4Pt: optimized geometry, PBE.

Lattice parameters (Å, degrees): 11.564 11.564 11.564 13.85 13.85 13.85
Atoms (fractional coordinates):
1 Pd 0.100 0.100 0.100
2 Pd 0.300 0.300 0.300
3 Pd 0.700 0.700 0.700
4 Pd 0.900 0.900 0.900
5 Pt 0.500 0.500 0.500

- raw total energy (eV/cell) = -26.853
- space group = R-3m
- E above lowest polymorph (meV/atom) = 0
- crystal system = trigonal
- energy of formation (eV per atom) = -0.008

---

Pd5Pt: optimized geometry, PBE.

Lattice parameters (Å, degrees): 2.772 2.772 13.985 90.00 90.00 120.00
Atoms (fractional coordinates):
1 Pd 0.000 0.000 0.000
2 Pd 0.000 0.000 0.332
3 Pd 0.000 0.000 0.668
4 Pd 0.333 0.667 0.166
5 Pd 0.333 0.667 0.834
6 Pt 0.333 0.667 0.500

- raw total energy (eV/cell) = -31.826
- space group = P-6m2
- E above lowest polymorph (meV/atom) = 35
- crystal system = hexagonal
- energy of formation (eV per atom) = 0.030

---

PdPt2: optimized geometry, PBE.

Lattice parameters (Å, degrees): 5.223 5.223 5.223 60.00 60.00 60.00
Atoms (fractional coordinates):
1 Pd 0.125 0.125 0.125
2 Pd 0.875 0.875 0.875
3 Pt 0.000 0.500 0.500
4 Pt 0.500 0.000 0.500
5 Pt 0.500 0.500 0.000
6 Pt 0.500 0.500 0.500

- raw total energy (eV/cell) = -33.640
- space group = Fd-3m
- E above lowest polymorph (meV/atom) = 185
- crystal system = cubic
- energy of formation (eV per atom) = 0.151

---

Pd7Pt3: optimized geometry, PBE.

Lattice parameters (Å, degrees): 7.401 7.401 5.607 100.92 100.92 30.82
Atoms (fractional coordinates):
1 Pd 0.000 0.000 0.000
2 Pd 0.200 0.200 0.599
3 Pd 0.399 0.399 0.702
4 Pd 0.401 0.401 0.203
5 Pd 0.599 0.599 0.797
6 Pd 0.601 0.601 0.298
7 Pd 0.800 0.800 0.401
8 Pt 0.000 0.000 0.500
9 Pt 0.200 0.200 0.097
10 Pt 0.800 0.800 0.903

- raw total energy (eV/cell) = -54.593
- space group = C2/m
- E above lowest polymorph (meV/atom) = 4
- crystal system = monoclinic
- energy of formation (eV per atom) = -0.012

---

Pd4Pt3: optimized geometry, PBE.

Lattice parameters (Å, degrees): 5.192 5.192 4.946 90.00 90.00 120.00
Atoms (fractional coordinates):
1 Pd 0.000 0.000 0.248
2 Pd 0.000 0.000 0.752
3 Pd 0.333 0.667 0.000
4 Pd 0.667 0.333 0.000
5 Pt 0.000 0.500 0.500
6 Pt 0.500 0.000 0.500
7 Pt 0.500 0.500 0.500

- raw total energy (eV/cell) = -37.731
- space group = P6/mmm
- E above lowest polymorph (meV/atom) = 131
- crystal system = hexagonal
- energy of formation (eV per atom) = 0.166